(1)
Entry from the Alexandria database: crystalline Pa4Co12TcB3 at its relaxed geometry (PBE-GGA).

Calculated values
The calculated volume is 271 Å³/cell. Its total energy is -7.85 eV per atom. The density of states at the Fermi level comes out at 22.64 states/eV per cell. The value obtained for the calculated formation energy is -0.168 eV per atom. The value obtained for the mass density is 10.80 g/cm3. The symmetry is Im-3m.

```
Pa4Co12TcB3
1.0
-4.075 4.075 4.075
4.075 -4.075 4.075
4.075 4.075 -4.075
Pa Co Tc B
4 12 1 3
Direct
0.000 0.000 0.500 Pa
0.000 0.500 0.000 Pa
0.500 0.000 0.000 Pa
0.500 0.500 0.500 Pa
0.000 0.277 0.277 Co
0.000 0.723 0.723 Co
0.250 0.500 0.750 Co
0.250 0.750 0.500 Co
0.277 0.000 0.277 Co
0.277 0.277 0.000 Co
0.500 0.250 0.750 Co
0.500 0.750 0.250 Co
0.723 0.000 0.723 Co
0.723 0.723 0.000 Co
0.750 0.250 0.500 Co
0.750 0.500 0.250 Co
0.000 0.000 0.000 Tc
0.000 0.500 0.500 B
0.500 0.000 0.500 B
0.500 0.500 0.000 B
```

(2)
Entry from the Alexandria database: crystalline Zr2PbBr at its relaxed geometry (PBE-GGA).

Calculated values
The calculated volume is 95 Å³/cell. Its total energy is -5.54 eV per atom. The density of states at the Fermi level comes out at 4.98 states/eV per cell. For the uncorrected formation energy, the calculation gives 0.082 eV/atom. The value obtained for the mass density is 8.20 g/cm3. The symmetry is I-4m2.

```
Zr2PbBr
1.0
-2.158 2.158 5.107
2.158 -2.158 5.107
2.158 2.158 -5.107
Zr Pb Br
2 1 1
Direct
0.000 0.000 0.000 Zr
0.750 0.250 0.500 Zr
0.250 0.750 0.500 Pb
0.500 0.500 0.000 Br
```

(3)
Entry from the Alexandria database: crystalline HoAs4Ru4 at its relaxed geometry (PBE-GGA).

Calculated values
The calculated volume is 309 Å³/cell. Its total energy is -7.01 eV per atom. The density of states at the Fermi level comes out at 11.66 states/eV per cell. The value obtained for the calculated formation energy is -0.310 eV per atom. The value obtained for the mass density is 9.35 g/cm3. The symmetry is P4_2/nmc.

```
HoAs4Ru4
1.0
6.213 0.000 0.000
0.000 6.213 0.000
0.000 0.000 7.998
Ho As Ru
2 8 8
Direct
0.250 0.750 0.250 Ho
0.750 0.250 0.750 Ho
0.023 0.250 0.056 As
0.250 0.023 0.556 As
0.250 0.477 0.556 As
0.477 0.250 0.056 As
0.523 0.750 0.944 As
0.750 0.523 0.444 As
0.750 0.977 0.444 As
0.977 0.750 0.944 As
0.028 0.250 0.357 Ru
0.250 0.028 0.857 Ru
0.250 0.472 0.857 Ru
0.472 0.250 0.357 Ru
0.528 0.750 0.643 Ru
0.750 0.528 0.143 Ru
0.750 0.972 0.143 Ru
0.972 0.750 0.643 Ru
```

(4)
Entry from the Alexandria database: crystalline MoIrRu2 at its relaxed geometry (PBE-GGA).

Calculated values
The calculated volume is 59 Å³/cell. Its total energy is -9.20 eV per atom. The density of states at the Fermi level comes out at 7.09 states/eV per cell. The value obtained for the energy above the lowest structure with this stoichiometry is 524 meV per atom. The value obtained for the calculated formation energy is 0.357 eV per atom. The value obtained for the mass density is 13.72 g/cm3. The symmetry is Fm-3m.

```
MoIrRu2
1.0
0.000 3.096 3.096
3.096 0.000 3.096
3.096 3.096 0.000
Mo Ir Ru
1 1 2
Direct
0.000 0.000 0.000 Mo
0.500 0.500 0.500 Ir
0.250 0.250 0.250 Ru
0.750 0.750 0.750 Ru
```

(5)
Entry from the Alexandria database: crystalline Na2InGe2Pd5 at its relaxed geometry (PBE-GGA).

Calculated values
The calculated volume is 360 Å³/cell. Its total energy is -4.49 eV per atom. The density of states at the Fermi level comes out at 7.87 states/eV per cell. The value obtained for the calculated formation energy is -0.429 eV per atom. The value obtained for the mass density is 7.73 g/cm3. The symmetry is P4/mbm.

```
Na2InGe2Pd5
1.0
10.149 0.000 0.000
0.000 10.149 0.000
0.000 0.000 3.496
Na In Ge Pd
4 2 4 10
Direct
0.174 0.326 0.000 Na
0.326 0.826 0.000 Na
0.674 0.174 0.000 Na
0.826 0.674 0.000 Na
0.000 0.000 0.000 In
0.500 0.500 0.000 In
0.126 0.626 0.000 Ge
0.374 0.126 0.000 Ge
0.626 0.874 0.000 Ge
0.874 0.374 0.000 Ge
0.000 0.500 0.500 Pd
0.064 0.793 0.500 Pd
0.207 0.064 0.500 Pd
0.293 0.564 0.500 Pd
0.436 0.293 0.500 Pd
0.500 0.000 0.500 Pd
0.564 0.707 0.500 Pd
0.707 0.436 0.500 Pd
0.793 0.936 0.500 Pd
0.936 0.207 0.500 Pd
```

(6)
Entry from the Alexandria database: crystalline Nd2Cd3Ag5 at its relaxed geometry (PBE-GGA).

Calculated values
The calculated volume is 468 Å³/cell. Its total energy is -2.80 eV per atom. The density of states at the Fermi level comes out at 12.20 states/eV per cell. The value obtained for the calculated formation energy is -0.145 eV per atom. The value obtained for the mass density is 8.27 g/cm3. The symmetry is Ibam.

```
Nd2Cd3Ag5
1.0
-5.962 6.586 2.978
5.962 -6.586 2.978
5.962 6.586 -2.978
Nd Cd Ag
4 6 10
Direct
0.246 0.123 0.369 Nd
0.254 0.623 0.878 Nd
0.746 0.377 0.122 Nd
0.754 0.877 0.631 Nd
0.142 0.376 0.518 Cd
0.250 0.250 0.000 Cd
0.358 0.876 0.234 Cd
0.642 0.124 0.766 Cd
0.750 0.750 0.000 Cd
0.858 0.624 0.482 Cd
0.149 0.871 0.020 Ag
0.250 0.001 0.751 Ag
0.250 0.499 0.249 Ag
0.250 0.750 0.500 Ag
0.351 0.371 0.722 Ag
0.649 0.629 0.278 Ag
0.750 0.250 0.500 Ag
0.750 0.501 0.751 Ag
0.750 0.999 0.249 Ag
0.851 0.129 0.980 Ag
```

(7)
Entry from the Alexandria database: crystalline KMgBe2 at its relaxed geometry (PBE-GGA).

Calculated values
The calculated volume is 80 Å³/cell. Its total energy is -1.81 eV per atom. The density of states at the Fermi level comes out at 0.81 states/eV per cell. The value obtained for the calculated formation energy is 0.722 eV per atom. The value obtained for the mass density is 1.69 g/cm3. The symmetry is Imm2.

```
KMgBe2
1.0
-1.390 2.696 5.344
1.390 -2.696 5.344
1.390 2.696 -5.344
K Mg Be
1 1 2
Direct
0.000 0.000 0.000 K
0.315 0.815 0.500 Mg
0.547 0.547 0.000 Be
0.704 0.204 0.500 Be
```

(8)
Entry from the Alexandria database: crystalline Ac4PbI5 at its relaxed geometry (PBE-GGA).

Calculated values
The calculated volume is 454 Å³/cell. Its total energy is -3.94 eV per atom. The density of states at the Fermi level comes out at 5.52 states/eV per cell. For the uncorrected formation energy, the calculation gives -1.146 eV/atom. The value obtained for the mass density is 6.40 g/cm3. The symmetry is C2/m.

```
Ac4PbI5
1.0
10.100 -2.314 0.000
10.100 2.314 0.000
-1.669 0.000 9.711
Ac Pb I
4 1 5
Direct
0.003 0.003 0.234 Ac
0.335 0.335 0.940 Ac
0.665 0.665 0.060 Ac
0.997 0.997 0.766 Ac
0.500 0.500 0.000 Pb
0.167 0.167 0.801 I
0.170 0.170 0.317 I
0.500 0.500 0.500 I
0.830 0.830 0.683 I
0.833 0.833 0.199 I
```

(9)
Entry from the Alexandria database: crystalline Sc2GaRe at its relaxed geometry (PBE-GGA).

Calculated values
The calculated volume is 73 Å³/cell. Its total energy is -7.38 eV per atom. The density of states at the Fermi level comes out at 3.55 states/eV per cell. The value obtained for the calculated formation energy is -0.347 eV per atom. The value obtained for the mass density is 7.91 g/cm3. The symmetry is P4/mmm.

```
Sc2GaRe
1.0
3.352 0.000 0.000
0.000 3.352 0.000
0.000 0.000 6.457
Sc Ga Re
2 1 1
Direct
0.000 0.000 0.234 Sc
0.000 0.000 0.766 Sc
0.500 0.500 0.500 Ga
0.500 0.500 0.000 Re
```

(10)
Entry from the Alexandria database: crystalline LiNd2ErTe5 at its relaxed geometry (PBE-GGA).

Calculated values
The calculated volume is 545 Å³/cell. Its total energy is -4.84 eV per atom. For the uncorrected formation energy, the calculation gives -1.318 eV/atom. The value obtained for the mass density is 6.71 g/cm3. The symmetry is Cmc2_1.

```
LiNd2ErTe5
1.0
2.200 -9.369 0.000
2.200 9.369 0.000
0.000 0.000 13.220
Li Nd Er Te
2 4 2 10
Direct
0.059 0.941 0.500 Li
0.941 0.059 0.000 Li
0.373 0.627 0.338 Nd
0.394 0.606 0.722 Nd
0.606 0.394 0.222 Nd
0.627 0.373 0.838 Nd
0.302 0.698 0.046 Er
0.698 0.302 0.546 Er
0.002 0.998 0.820 Te
0.139 0.861 0.035 Te
0.190 0.810 0.383 Te
0.218 0.782 0.704 Te
0.452 0.548 0.108 Te
0.548 0.452 0.608 Te
0.782 0.218 0.204 Te
0.810 0.190 0.883 Te
0.861 0.139 0.535 Te
0.998 0.002 0.320 Te
```

(11)
Entry from the Alexandria database: crystalline Co2Si2P at its relaxed geometry (PBE-GGA).

Calculated values
The calculated volume is 67 Å³/cell. Its total energy is -6.00 eV per atom. The density of states at the Fermi level comes out at 4.11 states/eV per cell. The value obtained for the energy above the lowest structure with this stoichiometry is 319 meV per atom. For the uncorrected formation energy, the calculation gives 0.096 eV/atom. The value obtained for the mass density is 5.05 g/cm3. The symmetry is I4/mmm.

```
Co2Si2P
1.0
-1.903 1.903 4.651
1.903 -1.903 4.651
1.903 1.903 -4.651
Co Si P
2 2 1
Direct
0.250 0.750 0.500 Co
0.750 0.250 0.500 Co
0.122 0.122 0.000 Si
0.878 0.878 0.000 Si
0.500 0.500 0.000 P
```

(12)
Entry from the Alexandria database: crystalline ZnHgTe2 at its relaxed geometry (PBE-GGA).

Calculated values
The calculated volume is 216 Å³/cell. Its total energy is -1.94 eV per atom. The density of states at the Fermi level comes out at 6.69 states/eV per cell. For the uncorrected formation energy, the calculation gives 0.022 eV/atom. The value obtained for the mass density is 8.03 g/cm3. The symmetry is I4/mcm.

```
ZnHgTe2
1.0
-3.820 3.820 3.692
3.820 -3.820 3.692
3.820 3.820 -3.692
Zn Hg Te
2 2 4
Direct
0.250 0.750 0.500 Zn
0.750 0.250 0.500 Zn
0.250 0.250 0.000 Hg
0.750 0.750 0.000 Hg
0.185 0.685 0.870 Te
0.315 0.185 0.500 Te
0.685 0.815 0.500 Te
0.815 0.315 0.130 Te
```

> calculated volume of number 12 (ZnHgTe2)?

216 Å³/cell

Please write out number 8 again, unchanged.
Entry from the Alexandria database: crystalline Ac4PbI5 at its relaxed geometry (PBE-GGA).

Calculated values
The calculated volume is 454 Å³/cell. Its total energy is -3.94 eV per atom. The density of states at the Fermi level comes out at 5.52 states/eV per cell. For the uncorrected formation energy, the calculation gives -1.146 eV/atom. The value obtained for the mass density is 6.40 g/cm3. The symmetry is C2/m.

```
Ac4PbI5
1.0
10.100 -2.314 0.000
10.100 2.314 0.000
-1.669 0.000 9.711
Ac Pb I
4 1 5
Direct
0.003 0.003 0.234 Ac
0.335 0.335 0.940 Ac
0.665 0.665 0.060 Ac
0.997 0.997 0.766 Ac
0.500 0.500 0.000 Pb
0.167 0.167 0.801 I
0.170 0.170 0.317 I
0.500 0.500 0.500 I
0.830 0.830 0.683 I
0.833 0.833 0.199 I
```

What did the first record say?
Entry from the Alexandria database: crystalline Pa4Co12TcB3 at its relaxed geometry (PBE-GGA).

Calculated values
The calculated volume is 271 Å³/cell. Its total energy is -7.85 eV per atom. The density of states at the Fermi level comes out at 22.64 states/eV per cell. The value obtained for the calculated formation energy is -0.168 eV per atom. The value obtained for the mass density is 10.80 g/cm3. The symmetry is Im-3m.

```
Pa4Co12TcB3
1.0
-4.075 4.075 4.075
4.075 -4.075 4.075
4.075 4.075 -4.075
Pa Co Tc B
4 12 1 3
Direct
0.000 0.000 0.500 Pa
0.000 0.500 0.000 Pa
0.500 0.000 0.000 Pa
0.500 0.500 0.500 Pa
0.000 0.277 0.277 Co
0.000 0.723 0.723 Co
0.250 0.500 0.750 Co
0.250 0.750 0.500 Co
0.277 0.000 0.277 Co
0.277 0.277 0.000 Co
0.500 0.250 0.750 Co
0.500 0.750 0.250 Co
0.723 0.000 0.723 Co
0.723 0.723 0.000 Co
0.750 0.250 0.500 Co
0.750 0.500 0.250 Co
0.000 0.000 0.000 Tc
0.000 0.500 0.500 B
0.500 0.000 0.500 B
0.500 0.500 0.000 B
```

> Which of these has the highest calculated volume?

LiNd2ErTe5